First-principles (PBE-GGA) data for AcHo4Co after structural relaxation, as listed in Alexandria via LeMat-Bulk.

Crystal system: monoclinic
ΔH_f (0 K) (eV/atom): 0.09
Total energy (eV/atom): -4.832
Total magnetization (μB/f.u.): 0.00

Unit cell a=6.1430 b=3.6592 c=9.0643 alpha=90.00 beta=100.58 gamma=90.00
Last column: nearest neighbours and their distance in Å.
Space group P2/m (No. 10)
Unique sites:
Ac 0.0000 0.0000 0.0000 [1 per cell]  6 Ho 3.62-4.04, 2 Ac 3.66
Ho 0.1109 0.5000 0.3499 [2 per cell]  1 Co 2.52
Ho 0.4017 0.0000 0.6938 [2 per cell]  2 Co 2.68
Co 0.5000 0.5000 0.5000 [1 per cell]  6 Ho 2.52-2.68



First-principles (PBE-GGA) data for AcHo3Co after structural relaxation, as listed in Alexandria via LeMat-Bulk.

Crystal system: cubic
ΔH_f (0 K) (eV/atom): -0.05
Total energy (eV/atom): -5.041
Total magnetization (μB/f.u.): 0.00

Unit cell a=5.3508 b=5.3508 c=5.3508 alpha=90.00 beta=90.00 gamma=90.00
Last column: nearest neighbours and their distance in Å.
Space group Pm-3m (No. 221)
Unique sites:
Ac 0.0000 0.0000 0.0000 [1 per cell]  12 Ho 3.78
Ho 0.0000 0.5000 0.5000 [3 per cell]  2 Co 2.68
Co 0.5000 0.5000 0.5000 [1 per cell]  6 Ho 2.68



First-principles (PBE-GGA) data for AcHoCoIr after structural relaxation, as listed in Alexandria via LeMat-Bulk.

Crystal system: cubic
ΔH_f (0 K) (eV/atom): -0.25
Total energy (eV/atom): -6.418
Total magnetization (μB/f.u.): 0.60

Unit cell a=7.0804 b=7.0804 c=7.0804 alpha=90.00 beta=90.00 gamma=90.00
Last column: nearest neighbours and their distance in Å.
Space group F-43m (No. 216)
Unique sites:
Ac 0.0000 0.0000 0.0000 [4 per cell]  4 Co 3.07, 4 Ir 3.07
Ho 0.0000 0.0000 0.5000 [4 per cell]  4 Co 3.07, 4 Ir 3.07
Co 0.2500 0.2500 0.7500 [4 per cell]  4 Ac 3.07, 4 Ho 3.07
Ir 0.2500 0.2500 0.2500 [4 per cell]  4 Ac 3.07, 4 Ho 3.07



First-principles (PBE-GGA) data for AcHoCoNi after structural relaxation, as listed in Alexandria via LeMat-Bulk.

Crystal system: cubic
ΔH_f (0 K) (eV/atom): -0.06
Total energy (eV/atom): -5.449
Total magnetization (μB/f.u.): 0.00

Unit cell a=6.9974 b=6.9974 c=6.9974 alpha=90.00 beta=90.00 gamma=90.00
Last column: nearest neighbours and their distance in Å.
Space group F-43m (No. 216)
Unique sites:
Ac 0.0000 0.0000 0.0000 [4 per cell]  4 Ni 3.03, 4 Co 3.03
Ho 0.0000 0.0000 0.5000 [4 per cell]  4 Co 3.03, 4 Ni 3.03
Co 0.2500 0.2500 0.2500 [4 per cell]  4 Ac 3.03, 4 Ho 3.03
Ni 0.2500 0.2500 0.7500 [4 per cell]  4 Ac 3.03, 4 Ho 3.03